Computed, not measured: Li12CuAg3 after structural relaxation at the PBE level of DFT.

```
Li12CuAg3
1.0
-2.458 -1.779 -2.754
3.084 -2.423 -1.187
-4.284 -10.717 10.745
Li Ag Cu
12 3 1
direct
0.500 0.000 0.373
0.500 0.500 0.500
0.500 0.500 0.245
0.500 0.500 0.000
0.500 0.000 0.118
0.500 0.000 0.627
0.500 0.500 0.755
0.500 0.000 0.882
0.000 0.500 0.882
0.000 0.500 0.373
0.000 0.500 0.118
0.000 0.500 0.627
0.000 0.000 0.755
0.000 0.000 0.245
0.000 0.000 0.500
0.000 0.000 0.000
```

**Uncorrected energy**: -37.11 eV per cell
**E_form**: -93 meV/atom
**Space-group type**: P4/mmm
**Density of states at the Fermi level**: 6.244 states/eV/cell